No. 1
# KHfTe2I

An optimized crystal structure of KHfTe2I (PBE, Alexandria via LeMat-Bulk).

Values from the calculation:
- E: -0.201 Ry per atom
- Spin magnetization: 0.0 μB/f.u.
- Excess energy over the best structure of this formula in the dataset: 1.8294 eV per atom
- Formation energy from raw total energies: 1.05 eV/atom

```
data_KHfTe2I
_chemical_formula_sum 'K1 Hf1 Te2 I1'
_space_group_name_H-M_alt 'P 1'
_space_group_IT_number 1
_space_group_name_Hall 'P 1'
_cell_length_a 5.8868
_cell_length_b 5.8868
_cell_length_c 5.7955
_cell_angle_alpha 90.00
_cell_angle_beta 90.00
_cell_angle_gamma 90.00
loop_
_atom_site_label
_atom_site_fract_x
_atom_site_fract_y
_atom_site_fract_z
_atom_site_occupancy
Hf1 0.5000 0.5000 0.5000 1
Te1 0.0000 0.5000 0.0000 1
Te2 0.5000 0.0000 0.0000 1
I1 0.0000 0.0000 0.5000 1
K1 0.0000 0.0000 0.0000 1
```


No. 2
# KHfTe2I

An optimized crystal structure of KHfTe2I (PBE, Alexandria via LeMat-Bulk).

Values from the calculation:
- E: -0.335 Ry per atom
- Spin magnetization: 0.0 μB/f.u.
- Excess energy over the best structure of this formula in the dataset: 0.0000 eV per atom
- Formation energy from raw total energies: -0.78 eV/atom

```
data_KHfTe2I
_chemical_formula_sum 'K1 Hf1 Te2 I1'
_space_group_name_H-M_alt 'P 1'
_space_group_IT_number 1
_space_group_name_Hall 'P 1'
_cell_length_a 5.6230
_cell_length_b 5.6230
_cell_length_c 5.9060
_cell_angle_alpha 90.00
_cell_angle_beta 90.00
_cell_angle_gamma 90.00
loop_
_atom_site_label
_atom_site_fract_x
_atom_site_fract_y
_atom_site_fract_z
_atom_site_occupancy
Te1 0.5000 0.0000 0.0000 1
Te2 0.0000 0.5000 0.0000 1
I1 0.0000 0.0000 0.5000 1
Hf1 0.0000 0.0000 0.0000 1
K1 0.5000 0.5000 0.5000 1
```


No. 3
# KHfTlI6

An optimized crystal structure of KHfTlI6 (PBE, Alexandria via LeMat-Bulk).

Values from the calculation:
- E: -0.257 Ry per atom
- Spin magnetization: 0.0 μB/f.u.
- Formation energy from raw total energies: -0.97 eV/atom

```
data_KHfTlI6
_chemical_formula_sum 'K2 Hf2 Tl2 I12'
_space_group_name_H-M_alt 'P 1'
_space_group_IT_number 1
_space_group_name_Hall 'P 1'
_cell_length_a 8.3658
_cell_length_b 8.3658
_cell_length_c 14.3978
_cell_angle_alpha 90.00
_cell_angle_beta 90.00
_cell_angle_gamma 120.00
loop_
_atom_site_label
_atom_site_fract_x
_atom_site_fract_y
_atom_site_fract_z
_atom_site_occupancy
I1 0.6633 0.6094 0.1340 1
I2 0.6633 0.0539 0.3660 1
I3 0.0539 0.3906 0.6340 1
I4 0.3906 0.0539 0.1340 1
I5 0.3367 0.3906 0.8660 1
I6 0.9461 0.6094 0.3660 1
I7 0.3367 0.9461 0.6340 1
I8 0.6094 0.9461 0.8660 1
I9 0.6094 0.6633 0.6340 1
I10 0.0539 0.6633 0.8660 1
I11 0.3906 0.3367 0.3660 1
I12 0.9461 0.3367 0.1340 1
K1 0.0000 0.0000 0.5000 1
K2 0.0000 0.0000 0.0000 1
Hf1 0.3333 0.6667 0.7500 1
Hf2 0.6667 0.3333 0.2500 1
Tl1 0.3333 0.6667 0.2500 1
Tl2 0.6667 0.3333 0.7500 1
```